1.
# PrSmYTh (GGA-PBE, optimized geometry)
# - volume (Å³/cell) = 540
# - E_form (eV/f.u.) = 0.817
# - total magnetization (Bohr magnetons per cell) = 0.0
data_PrSmYTh
_chemical_formula_sum 'Pr4 Sm4 Y4 Th4'
_symmetry_space_group_name_H-M 'F -4 3 m'
_symmetry_Int_Tables_number 216
_symmetry_space_group_name_Hall 'F -4 2 3'
_cell_length_a 8.144
_cell_length_b 8.144
_cell_length_c 8.144
_cell_angle_alpha 90.00
_cell_angle_beta 90.00
_cell_angle_gamma 90.00
loop_
_atom_site_label
_atom_site_type_symbol
_atom_site_fract_x
_atom_site_fract_y
_atom_site_fract_z
Pr1 Pr 0.000 0.000 0.000
Sm1 Sm 0.000 0.000 0.500
Y1 Y 0.250 0.250 0.250
Th1 Th 0.250 0.250 0.750

2.
# Nd2SmSc (GGA-PBE, optimized geometry)
# - volume (Å³/cell) = 514
# - E_form (eV/f.u.) = 0.501
# - total magnetization (Bohr magnetons per cell) = 0.0
data_Nd2SmSc
_chemical_formula_sum 'Nd8 Sm4 Sc4'
_symmetry_space_group_name_H-M 'F m -3 m'
_symmetry_Int_Tables_number 225
_symmetry_space_group_name_Hall '-F 4 2 3'
_cell_length_a 8.009
_cell_length_b 8.009
_cell_length_c 8.009
_cell_angle_alpha 90.00
_cell_angle_beta 90.00
_cell_angle_gamma 90.00
loop_
_atom_site_label
_atom_site_type_symbol
_atom_site_fract_x
_atom_site_fract_y
_atom_site_fract_z
Nd1 Nd 0.250 0.250 0.250
Sm1 Sm 0.000 0.000 0.000
Sc1 Sc 0.000 0.000 0.500

3.
# CeThPaRe (GGA-PBE, optimized geometry)
# - volume (Å³/cell) = 373
# - E_form (eV/f.u.) = 0.904
# - total magnetization (Bohr magnetons per cell) = 0.6
data_CeThPaRe
_chemical_formula_sum 'Ce4 Th4 Pa4 Re4'
_symmetry_space_group_name_H-M 'F -4 3 m'
_symmetry_Int_Tables_number 216
_symmetry_space_group_name_Hall 'F -4 2 3'
_cell_length_a 7.195
_cell_length_b 7.195
_cell_length_c 7.195
_cell_angle_alpha 90.00
_cell_angle_beta 90.00
_cell_angle_gamma 90.00
loop_
_atom_site_label
_atom_site_type_symbol
_atom_site_fract_x
_atom_site_fract_y
_atom_site_fract_z
Ce1 Ce 0.000 0.000 0.000
Th1 Th 0.250 0.250 0.250
Pa1 Pa 0.250 0.250 0.750
Re1 Re 0.000 0.000 0.500

What are the final energy values for these records? In order: -5.64, -5.02, -8.60 eV per atom.